Entry 1:
VASP calculation (PBE) on a relaxed RePt3Rh2 crystal.

Cell: 8.6547 9.3988 2.6982 Å, 90.00 90.00 90.00°
Element x y z (fractional)
Re (0.0000, 0.0000, 0.0000)
Re (0.5000, 0.5000, 0.5000)
Pt (0.0000, 0.5000, 0.0000)
Pt (0.0199, 0.2418, 0.5000)
Pt (0.4801, 0.7418, 0.0000)
Pt (0.5000, 0.0000, 0.5000)
Pt (0.5199, 0.2582, 0.0000)
Pt (0.9801, 0.7582, 0.5000)
Rh (0.2456, 0.5979, 0.5000)
Rh (0.2544, 0.0979, 0.0000)
Rh (0.7456, 0.9021, 0.0000)
Rh (0.7544, 0.4021, 0.5000)

Computed properties:
The value obtained for the formation energy is 0.35 eV per atom. The calculation puts the total magnetization at 0.00 μB/f.u.



Entry 2:
VASP calculation (PBE) on a relaxed RePtRh crystal.

Cell: 4.7666 4.7666 4.7666 Å, 146.52 131.71 60.04°
Element x y z (fractional)
Re (0.0000, 0.0000, 0.0000)
Pt (0.3314, 0.3314, 0.0000)
Rh (0.6571, 0.6571, 0.0000)

Computed properties:
The value obtained for the formation energy is -0.16 eV per atom. The calculation puts the total magnetization at 0.00 μB/f.u.



Entry 3:
VASP calculation (PBE) on a relaxed RePtRh2 crystal.

Cell: 4.7675 4.7675 4.7746 Å, 99.34 99.34 33.24°
Element x y z (fractional)
Re (0.0000, 0.0000, 0.0000)
Pt (0.5000, 0.5000, 0.5000)
Rh (0.2538, 0.2538, 0.7593)
Rh (0.7462, 0.7462, 0.2407)

Computed properties:
The value obtained for the formation energy is -0.08 eV per atom. The calculation puts the total magnetization at 0.00 μB/f.u.



Entry 4:
VASP calculation (PBE) on a relaxed Re2PtRh8 crystal.

Cell: 7.1464 7.1464 7.1464 Å, 147.94 119.45 70.18°
Element x y z (fractional)
Re (0.1895, 0.1895, 0.0000)
Re (0.8105, 0.8105, 0.0000)
Pt (0.5000, 0.5000, 0.0000)
Rh (0.0694, 0.3418, 0.7276)
Rh (0.1972, 0.0000, 0.1972)
Rh (0.3379, 0.8379, 0.5000)
Rh (0.3857, 0.6582, 0.7276)
Rh (0.6143, 0.3418, 0.2724)
Rh (0.6621, 0.1621, 0.5000)
Rh (0.8028, 0.0000, 0.8028)
Rh (0.9306, 0.6582, 0.2724)

Computed properties:
The value obtained for the formation energy is 0.06 eV per atom. The calculation puts the total magnetization at 0.00 μB/f.u.



Entry 5:
VASP calculation (PBE) on a relaxed RePtRh2 crystal.

Cell: 4.7505 4.7505 4.7505 Å, 131.74 131.74 70.63°
Element x y z (fractional)
Re (0.0000, 0.0000, 0.0000)
Pt (0.5000, 0.5000, 0.0000)
Rh (0.2500, 0.7500, 0.5000)
Rh (0.7500, 0.2500, 0.5000)

Computed properties:
The value obtained for the formation energy is -0.08 eV per atom. The calculation puts the total magnetization at 0.00 μB/f.u.



Entry 6:
VASP calculation (PBE) on a relaxed RePtRh6 crystal.

Cell: 3.8614 3.8614 7.7293 Å, 90.00 90.00 90.00°
Element x y z (fractional)
Re (0.0000, 0.0000, 0.0000)
Pt (0.0000, 0.0000, 0.5000)
Rh (0.0000, 0.5000, 0.2414)
Rh (0.0000, 0.5000, 0.7586)
Rh (0.5000, 0.0000, 0.2414)
Rh (0.5000, 0.0000, 0.7586)
Rh (0.5000, 0.5000, 0.0000)
Rh (0.5000, 0.5000, 0.5000)

Computed properties:
The value obtained for the formation energy is -0.08 eV per atom. The calculation puts the total magnetization at 0.00 μB/f.u.